# ScAsSe2

An optimized crystal structure of ScAsSe2 (PBE-GGA, Alexandria via LeMat-Bulk).

Properties
Space group: I-42d (122)
Formation energy (no corrections): -0.4485 eV/atom

```
ScAsSe2
1.0
-2.609 2.609 7.820
2.609 -2.609 7.820
2.609 2.609 -7.820
Sc As Se
2 2 4
direct
0.000 0.000 0.000 Sc
0.750 0.250 0.500 Sc
0.250 0.750 0.500 As
0.500 0.500 0.000 As
0.119 0.625 0.994 Se
0.375 0.369 0.494 Se
0.631 0.125 0.006 Se
0.875 0.881 0.506 Se
```



# NdThSb2

An optimized crystal structure of NdThSb2 (PBE-GGA, Alexandria via LeMat-Bulk).

Properties
Energy above the lowest structure with this stoichiometry: 0.00 kcal/mol of atoms
Space group: I4_1/amd (141)
Formation energy (no corrections): -1.0658 eV/atom

```
NdThSb2
1.0
-3.193 3.193 6.382
3.193 -3.193 6.382
3.193 3.193 -6.382
Nd Th Sb
2 2 4
direct
0.375 0.625 0.750 Nd
0.625 0.375 0.250 Nd
0.125 0.875 0.250 Th
0.875 0.125 0.750 Th
0.124 0.374 0.750 Sb
0.374 0.124 0.250 Sb
0.626 0.876 0.750 Sb
0.876 0.626 0.250 Sb
```



# Cs2AsAuCl6

An optimized crystal structure of Cs2AsAuCl6 (PBE-GGA, Alexandria via LeMat-Bulk).

Properties
Space group: Fm-3m (225)
Formation energy (no corrections): -1.0941 eV/atom

```
Cs2AsAuCl6
1.0
0.000 5.269 5.269
5.269 0.000 5.269
5.269 5.269 0.000
Cs As Au Cl
2 1 1 6
direct
0.250 0.250 0.250 Cs
0.750 0.750 0.750 Cs
0.000 0.000 0.000 As
0.500 0.500 0.500 Au
0.241 0.241 0.759 Cl
0.241 0.759 0.241 Cl
0.241 0.759 0.759 Cl
0.759 0.241 0.241 Cl
0.759 0.241 0.759 Cl
0.759 0.759 0.241 Cl
```



# AcThTi2O8

An optimized crystal structure of AcThTi2O8 (PBE-GGA, Alexandria via LeMat-Bulk).

Properties
Space group: I-4 (82)
Formation energy (no corrections): -3.1583 eV/atom

```
AcThTi2O8
1.0
-2.676 2.676 5.944
2.676 -2.676 5.944
2.676 2.676 -5.944
Ac Th Ti O
1 1 2 8
direct
0.000 0.000 0.000 Ac
0.250 0.750 0.500 Th
0.500 0.500 0.000 Ti
0.750 0.250 0.500 Ti
0.277 0.668 0.116 O
0.332 0.449 0.609 O
0.419 0.013 0.085 O
0.551 0.161 0.884 O
0.666 0.581 0.594 O
0.839 0.723 0.391 O
0.928 0.334 0.915 O
0.987 0.072 0.406 O
```



# LaDyCu2Ge2

An optimized crystal structure of LaDyCu2Ge2 (PBE-GGA, Alexandria via LeMat-Bulk).

Properties
Space group: P-3m1 (164)
ΔE_f: -66.4 kJ per mole of atoms

```
LaDyCu2Ge2
1.0
4.296 0.000 0.000
-2.148 3.721 0.000
0.000 0.000 7.731
La Dy Cu Ge
1 1 2 2
direct
0.000 0.000 0.000 La
0.000 0.000 0.500 Dy
0.333 0.667 0.721 Cu
0.667 0.333 0.279 Cu
0.333 0.667 0.264 Ge
0.667 0.333 0.736 Ge
```



# Tb2CeZrAs4

An optimized crystal structure of Tb2CeZrAs4 (PBE-GGA, Alexandria via LeMat-Bulk).

Properties
Space group: P2/m (10)
ΔE_f: -134.6 kJ per mole of atoms

```
Tb2CeZrAs4
1.0
7.068 0.000 0.000
0.000 4.082 0.000
-2.334 0.000 6.672
Tb Ce Zr As
2 1 1 4
direct
0.000 0.000 0.000 Tb
0.000 0.500 0.500 Tb
0.500 0.000 0.500 Ce
0.500 0.500 0.000 Zr
0.253 0.500 0.242 As
0.260 0.000 0.762 As
0.740 0.000 0.238 As
0.747 0.500 0.758 As
```



# Pm6SmDy2Ho3

An optimized crystal structure of Pm6SmDy2Ho3 (PBE-GGA, Alexandria via LeMat-Bulk).

Properties
Space group: C2/m (12)
ΔE_f: 1.3 kJ per mole of atoms

```
Pm6SmDy2Ho3
1.0
3.122 -5.406 0.000
3.122 5.406 0.000
-2.073 0.000 11.678
Pm Sm Dy Ho
6 1 2 3
direct
0.082 0.416 0.249 Pm
0.250 0.250 0.751 Pm
0.416 0.082 0.249 Pm
0.584 0.918 0.751 Pm
0.750 0.750 0.249 Pm
0.918 0.584 0.751 Pm
0.500 0.500 0.500 Sm
0.167 0.833 0.500 Dy
0.833 0.167 0.500 Dy
0.000 0.000 0.000 Ho
0.333 0.667 0.000 Ho
0.667 0.333 0.000 Ho
```



# Pu12SnPt5

An optimized crystal structure of Pu12SnPt5 (PBE-GGA, Alexandria via LeMat-Bulk).

Properties
Space group: Immm (71)
ΔE_f: -33.7 kJ per mole of atoms

```
Pu12SnPt5
1.0
-4.287 4.769 5.384
4.287 -4.769 5.384
4.287 4.769 -5.384
Pu Sn Pt
12 1 5
direct
0.038 0.827 0.211 Pu
0.240 0.559 0.319 Pu
0.240 0.921 0.681 Pu
0.283 0.314 0.597 Pu
0.283 0.686 0.969 Pu
0.384 0.173 0.211 Pu
0.616 0.827 0.789 Pu
0.717 0.314 0.031 Pu
0.717 0.686 0.403 Pu
0.760 0.079 0.319 Pu
0.760 0.441 0.681 Pu
0.962 0.173 0.789 Pu
0.500 0.000 0.500 Sn
0.000 0.162 0.162 Pt
0.000 0.500 0.500 Pt
0.000 0.838 0.838 Pt
0.361 0.361 0.000 Pt
0.639 0.639 0.000 Pt
```



E_tot per entry: -0.363; -0.454; -0.233; -0.642; -0.381; -0.492; -0.343; -0.868 Ry per atom
Density per entry: 4.3; 7.9; 4.3; 6.7; 7.7; 7.3; 7.8; 15.2 g/cm³